(1)
Material: VGeWO6
Method: DFT, PBE with a Hubbard U
State: optimized geometry

Cell: 4.625 4.625 9.182 Å, 90.00 90.00 90.00°
Space group P4_2nm (No. 102)
Unique sites:
V 0.000 0.000 0.000 x2
Ge 0.000 0.000 0.663 x2
W 0.000 0.000 0.331 x2
O 0.187 0.187 0.503 x4
O 0.195 0.195 0.823 x4
O 0.205 0.205 0.164 x4

Summary:
As for the crystal system: tetragonal.

---

(2)
Material: VZnGe2O6
Method: DFT, PBE with a Hubbard U
State: optimized geometry

Cell: 10.118 9.507 5.549 Å, 90.00 109.10 90.00°
Space group C2/c (No. 15)
Unique sites:
V 0.000 0.097 0.250 x4
Zn 0.000 0.237 0.750 x4
Ge 0.196 0.413 0.233 x8
O 0.117 0.253 0.107 x8
O 0.118 0.082 0.651 x8
O 0.137 0.452 0.497 x8

Summary:
The density of states at the Fermi level comes out at 12.493 states/eV per cell. As for the crystal system: monoclinic.

---

(3)
Material: GeWO3
Method: DFT, PBE with a Hubbard U
State: optimized geometry

Cell: 3.967 3.967 3.967 Å, 90.00 90.00 90.00°
Space group Pm-3m (No. 221)
Unique sites:
Ge 0.000 0.000 0.000 x1
W 0.500 0.500 0.500 x1
O 0.000 0.500 0.500 x3

Summary:
The density of states at the Fermi level comes out at 2.423 states/eV per cell. As for the crystal system: cubic.

---

(4)
Material: GeW2O8
Method: DFT, PBE with a Hubbard U
State: optimized geometry

Cell: 13.186 5.086 5.139 Å, 90.00 94.73 90.00°
Space group C2/m (No. 12)
Unique sites:
Ge 0.000 0.000 0.000 x2
W 0.149 0.000 0.433 x4
O 0.081 0.246 0.216 x8
O 0.103 0.000 0.762 x4
O 0.215 0.500 0.584 x4

Summary:
The density of states at the Fermi level comes out at 0.000 states/eV per cell. As for the crystal system: monoclinic.

---

(5)
Material: GeWO3
Method: DFT, PBE with a Hubbard U
State: optimized geometry

Cell: 3.799 3.799 3.799 Å, 90.00 90.00 90.00°
Space group Pm-3m (No. 221)
Unique sites:
Ge 0.000 0.000 0.000 x1
W 0.500 0.500 0.500 x1
O 0.000 0.000 0.500 x3

Summary:
The density of states at the Fermi level comes out at 3.118 states/eV per cell. As for the crystal system: cubic.

---

(6)
Material: Ge2WO
Method: DFT, PBE with a Hubbard U
State: optimized geometry

Cell: 6.038 6.038 7.192 Å, 90.00 90.00 90.00°
Space group I-42d (No. 122)
Unique sites:
Ge 0.178 0.750 0.125 x8
W 0.000 0.000 0.500 x4
O 0.000 0.000 0.000 x4

Summary:
The density of states at the Fermi level comes out at 3.487 states/eV per cell. As for the crystal system: tetragonal.

---

(7)
Material: GeWO2
Method: DFT, PBE with a Hubbard U
State: optimized geometry

Cell: 2.8604 2.8604 21.5759 Å, 90.00 90.00 120.00°
Space group R-3m (No. 166, hexagonal axes)
Unique sites:
Ge 0.0000 0.0000 0.0000 x3
W 0.0000 0.0000 0.5000 x3
O 0.0000 0.0000 0.1023 x6

Summary:
The density of states at the Fermi level comes out at 3.191 states/eV per cell. As for the crystal system: trigonal.

---

(8)
Material: Ge2WO6
Method: DFT, PBE with a Hubbard U
State: optimized geometry

Cell: 10.054 9.220 5.724 Å, 90.00 109.47 90.00°
Space group C2/c (No. 15)
Unique sites:
Ge 0.195 0.087 0.236 x8
W 0.000 0.406 0.250 x4
O 0.115 0.430 0.643 x8
O 0.132 0.016 0.464 x8
O 0.135 0.265 0.186 x8

Summary:
The density of states at the Fermi level comes out at 0.000 states/eV per cell. As for the crystal system: monoclinic.

---

(9)
Material: GeWO2
Method: DFT, PBE with a Hubbard U
State: optimized geometry

Cell: 4.193 4.193 13.041 Å, 90.00 90.00 90.00°
Space group I-42d (No. 122)
Unique sites:
Ge 0.000 0.000 0.000 x4
W 0.000 0.000 0.500 x4
O 0.162 0.250 0.625 x8

Summary:
The density of states at the Fermi level comes out at 3.564 states/eV per cell. As for the crystal system: tetragonal.

---

(10)
Material: Ge3WO
Method: DFT, PBE with a Hubbard U
State: optimized geometry

Cell: 4.940 4.940 4.940 Å, 90.00 90.00 90.00°
Space group Pm-3m (No. 221)
Unique sites:
Ge 0.000 0.000 0.500 x3
W 0.000 0.000 0.000 x1
O 0.500 0.500 0.500 x1

Summary:
As for the distance to the lowest polymorph of the same formula: 0.564 eV/atom. The density of states at the Fermi level comes out at 3.506 states/eV per cell. As for the crystal system: cubic.

---

(11)
Material: GeWO4
Method: DFT, PBE with a Hubbard U
State: optimized geometry

Cell: 5.578 11.727 5.034 Å, 90.00 90.00 90.00°
Space group Pnna (No. 52)
Unique sites:
Ge 0.250 0.000 0.171 x4
W 0.127 0.250 0.750 x4
O 0.097 0.098 0.900 x8
O 0.141 0.704 0.002 x8

Summary:
As for the distance to the lowest polymorph of the same formula: 0.000 eV/atom. As for the crystal system: orthorhombic.

---

(12)
Material: GeWO4
Method: DFT, PBE with a Hubbard U
State: optimized geometry

Cell: 4.877 6.958 5.072 Å, 90.00 93.75 90.00°
Space group P2/c (No. 13)
Unique sites:
Ge 0.000 0.214 0.250 x2
W 0.500 0.347 0.750 x2
O 0.262 0.185 0.887 x4
O 0.279 0.409 0.419 x4

Summary:
As for the distance to the lowest polymorph of the same formula: 0.078 eV/atom. The density of states at the Fermi level comes out at 0.000 states/eV per cell. As for the crystal system: monoclinic.

---

no.,VASP energy (eV per atom)
1,-7.344
2,-6.398
3,-6.414
4,-6.880
5,-5.850
6,-4.991
7,-6.351
8,-6.827
9,-5.875
10,-4.276
11,-6.985
12,-6.908